Li5HAu2: optimized geometry, PBE.

The density comes out at 5.8 g cm⁻³. The calculation puts the raw total energy at -2.78 eV per atom. For the volume, the calculation gives 245.2 Å³ per cell.

The structure belongs to space group I4mm (No. 107); the cell edges are 5.814, 5.814 and 7.254 Å and the angles 90.00°, 90.00° and 90.00°. The asymmetric unit holds Li at (0.000, 0.000, 0.000), Li at (0.233, 0.233, 0.746), H at (0.000, 0.000, 0.753) and Au at (0.000, 0.500, 0.002).

***

LiHAu3: optimized geometry, PBE.

The density comes out at 10.7 g cm⁻³. The calculation puts the raw total energy at -2.17 eV per atom. For the volume, the calculation gives 92.8 Å³ per cell.

The structure belongs to space group Pm-3m (No. 221); the cell edges are 4.527, 4.527 and 4.527 Å and the angles 90.00°, 90.00° and 90.00°. The asymmetric unit holds Li at (0.000, 0.000, 0.000), H at (0.500, 0.500, 0.500) and Au at (0.000, 0.000, 0.500).